A relaxed CsMgBiPd crystal, computed with GGA-PBE.

a b c (Å): 5.3815 5.3815 5.3815
angles (deg): 60.00 60.00 60.00
Element x y z (fractional)
Bi (0.5000, 0.5000, 0.5000)
Pd (0.2500, 0.2500, 0.2500)
Mg (0.7500, 0.7500, 0.7500)
Cs (0.0000, 0.0000, 0.0000)

space group: F-43m, No. 216
E above lowest polymorph: 0 meV/atom
calculated volume: 110 Å³/f.u.
mass density: 7121 kg/m3